No. 1
An optimized crystal structure of InNi2RuC, computed with PBE.

```
InNi2RuC
1.0
-3.7721 -1.0544 0.3108
1.0749 -3.7706 0.2539
0.2355 0.3365 4.0002
Ru Ni In C
1 2 1 1
Direct
0.0000 0.0000 0.5000 Ru
0.0000 0.5000 0.0000 Ni
0.5000 0.0000 0.0000 Ni
0.5000 0.5000 0.5000 In
0.0000 0.0000 0.0000 C
```

Size of the total moment = 0.00 μB per atom
DFT formation energy = 0.0 eV per formula unit
Crystal system = tetragonal
E_tot = -6.568 eV per atom

=====

No. 2
An optimized crystal structure of Cu2Ag2Bi, computed with PBE.

```
Cu2Ag2Bi
1.0
7.7621 0.0000 0.0000
0.0000 7.7621 0.0000
0.0000 0.0000 3.0339
Cu Ag Bi
4 4 2
Direct
0.6650 0.8350 0.5000 Cu
0.8350 0.3350 0.5000 Cu
0.3350 0.1650 0.5000 Cu
0.1650 0.6650 0.5000 Cu
0.6283 0.1283 0.0000 Ag
0.1283 0.3717 0.0000 Ag
0.8717 0.6283 0.0000 Ag
0.3717 0.8717 0.0000 Ag
0.0000 0.0000 0.0000 Bi
0.5000 0.5000 0.0000 Bi
```

Size of the total moment = 0.00 μB per atom
Distance to the lowest polymorph of the same formula = 0.0442 eV per atom
DFT formation energy = 1.0 eV per formula unit
Crystal system = tetragonal
E_tot = -3.350 eV per atom

=====

No. 3
An optimized crystal structure of K2ZrOs, computed with PBE.

```
K2ZrOs
1.0
3.4273 0.0000 0.0000
0.0000 3.4308 -0.0042
0.0000 3.4770 11.2901
Zr K Os
1 2 1
Direct
0.5000 0.8426 0.6569 Zr
0.5000 0.1686 0.3338 K
0.0000 0.0407 0.9567 K
0.0000 0.4481 0.5526 Os
```

Size of the total moment = 0.00 μB per atom
Distance to the lowest polymorph of the same formula = 0.0000 eV per atom
DFT formation energy = 1.7 eV per formula unit
Crystal system = monoclinic
E_tot = -5.072 eV per atom

=====

No. 4
An optimized crystal structure of Cd2HgAu, computed with PBE.

```
Cd2HgAu
1.0
-2.0945 -4.4126 -0.6550
-4.8081 -0.3163 -1.0342
-1.4675 -1.3882 -4.4952
Au Cd Hg
1 2 1
Direct
0.0000 0.0000 0.0000 Au
0.7500 0.7500 0.7500 Cd
0.2500 0.2500 0.2500 Cd
0.5000 0.5000 0.5000 Hg
```

Size of the total moment = 0.00 μB per atom
Distance to the lowest polymorph of the same formula = 0.0574 eV per atom
DFT formation energy = -0.1 eV per formula unit
Crystal system = cubic
E_tot = -1.377 eV per atom

=====

No. 5
An optimized crystal structure of V2Cd2N, computed with PBE.

```
V2Cd2N
1.0
-5.9587 1.0974 -0.7170
-1.2553 -3.8146 4.5932
0.2965 3.6354 3.1002
V Cd N
4 4 2
Direct
0.3905 0.1095 0.5000 V
0.8905 0.3905 0.5000 V
0.6095 0.8905 0.5000 V
0.1095 0.6095 0.5000 V
0.8304 0.6696 0.0000 Cd
0.6696 0.1696 0.0000 Cd
0.1696 0.3304 0.0000 Cd
0.3304 0.8304 0.0000 Cd
0.0000 0.0000 0.0000 N
0.5000 0.5000 0.0000 N
```

Size of the total moment = 0.00 μB per atom
Distance to the lowest polymorph of the same formula = 0.1392 eV per atom
Crystal system = tetragonal
Raw formation energy = 5.452 eV/f.u.
E_tot = -4.588 eV per atom

=====

No. 6
An optimized crystal structure of Hf4SbPd, computed with PBE.

```
Hf4SbPd
1.0
7.0720 0.0003 -0.0007
0.0003 5.6949 -0.2469
-3.5361 -2.6164 7.4168
Sb Hf Pd
2 8 2
Direct
0.2237 0.2500 0.0000 Sb
0.7763 0.7500 0.0000 Sb
0.2885 0.5000 0.3731 Hf
0.0846 0.0000 0.3732 Hf
0.6513 0.5789 0.2426 Hf
0.9154 0.0000 0.6268 Hf
0.5912 0.0789 0.2426 Hf
0.3487 0.4211 0.7574 Hf
0.4088 0.9211 0.7574 Hf
0.7115 0.5000 0.6269 Hf
0.5000 0.0000 0.5000 Pd
0.0000 0.5000 0.5000 Pd
```

Size of the total moment = 0.00 μB per atom
Crystal system = monoclinic
Raw formation energy = -0.493 eV/f.u.
E_tot = -8.270 eV per atom

=====

No. 7
An optimized crystal structure of NiHgPb2, computed with PBE.

```
NiHgPb2
1.0
-0.3606 -2.6081 -5.1525
4.6730 -3.0900 -1.4476
-3.4048 0.3202 4.6675
Pb Ni Hg
2 1 1
Direct
0.2500 0.7500 0.5000 Pb
0.0000 0.0000 0.0000 Pb
0.7500 0.2500 0.5000 Ni
0.5000 0.5000 0.0000 Hg
```

Size of the total moment = 0.00 μB per atom
DFT formation energy = 1.5 eV per formula unit
Crystal system = tetragonal
E_tot = -3.000 eV per atom

=====

No. 8
An optimized crystal structure of Er2AlGe2, computed with PBE.

```
Er2AlGe2
1.0
3.6797 0.0000 1.6495
1.1390 4.9720 2.3882
-0.3112 -0.0281 5.6235
Er Ge Al
2 2 1
Direct
0.7871 0.7129 0.7129 Er
0.2129 0.2871 0.2871 Er
0.5000 0.2837 0.7163 Ge
0.5000 0.7163 0.2837 Ge
0.0000 0.0000 0.0000 Al
```

Size of the total moment = 0.00 μB per atom
DFT formation energy = -3.6 eV per formula unit
Crystal system = orthorhombic
E_tot = -5.140 eV per atom